# GGA-PBEsol RbHoP2O7, optimized geometry
data_RbHoP2O7
_chemical_formula_sum 'Rb4 Ho4 P8 O28'
_cell_length_a 7.719
_cell_length_b 8.688
_cell_length_c 10.917
_cell_angle_alpha 90.00
_cell_angle_beta 90.00
_cell_angle_gamma 105.98
_space_group_name_H-M_alt 'P 1'
_space_group_IT_number 1
loop_
_space_group_symop_operation_xyz
'x,y,z'
loop_
_atom_site_label
_atom_site_type_symbol
_atom_site_fract_x
_atom_site_fract_y
_atom_site_fract_z
Ho1 Ho 0.234 0.253 0.903
Ho2 Ho 0.766 0.747 0.097
Ho3 Ho 0.234 0.753 0.597
Ho4 Ho 0.766 0.247 0.403
O1 O 0.672 0.983 0.389
O2 O 0.328 0.517 0.889
O3 O 0.550 0.767 0.226
O4 O 0.993 0.283 0.002
O5 O 0.670 0.198 0.070
O6 O 0.672 0.483 0.111
O7 O 0.007 0.217 0.502
O8 O 0.622 0.733 0.921
O9 O 0.450 0.733 0.726
O10 O 0.450 0.233 0.774
O11 O 0.550 0.267 0.274
O12 O 0.924 0.753 0.272
O13 O 0.007 0.717 0.998
O14 O 0.330 0.302 0.570
O15 O 0.993 0.783 0.498
O16 O 0.670 0.698 0.430
O17 O 0.328 0.017 0.611
O18 O 0.076 0.747 0.772
O19 O 0.330 0.802 0.930
O20 O 0.076 0.247 0.728
O21 O 0.378 0.767 0.421
O22 O 0.924 0.253 0.228
O23 O 0.141 0.993 0.907
O24 O 0.859 0.507 0.407
O25 O 0.859 0.007 0.093
O26 O 0.141 0.493 0.593
O27 O 0.622 0.233 0.579
O28 O 0.378 0.267 0.079
Rb1 Rb 0.184 0.063 0.323
Rb2 Rb 0.816 0.937 0.677
Rb3 Rb 0.184 0.563 0.177
Rb4 Rb 0.816 0.437 0.823
P1 P 0.436 0.688 0.862
P2 P 0.130 0.317 0.601
P3 P 0.870 0.183 0.101
P4 P 0.564 0.312 0.138
P5 P 0.870 0.683 0.399
P6 P 0.564 0.812 0.362
P7 P 0.436 0.188 0.638
P8 P 0.130 0.817 0.899
# * electronic total energy: -7.66 eV per atom
# * space group: P2_1/c, No. 14
# * V: 704 Å³ per cell

# GGA-PBEsol RbHoP4O12, optimized geometry
data_RbHoP4O12
_chemical_formula_sum 'Rb4 Ho4 P16 O48'
_cell_length_a 8.850
_cell_length_b 10.255
_cell_length_c 10.947
_cell_angle_alpha 106.37
_cell_angle_beta 90.00
_cell_angle_gamma 90.00
_space_group_name_H-M_alt 'P 1'
_space_group_IT_number 1
loop_
_space_group_symop_operation_xyz
'x,y,z'
loop_
_atom_site_label
_atom_site_type_symbol
_atom_site_fract_x
_atom_site_fract_y
_atom_site_fract_z
O1 O 0.451 0.364 0.900
O2 O 0.286 0.435 0.099
O3 O 0.742 0.063 0.995
O4 O 0.831 0.317 0.519
O5 O 0.657 0.189 0.844
O6 O 0.452 0.672 0.904
O7 O 0.710 0.475 0.255
O8 O 0.913 0.355 0.783
O9 O 0.169 0.683 0.481
O10 O 0.290 0.525 0.745
O11 O 0.026 0.537 0.666
O12 O 0.214 0.935 0.599
O13 O 0.548 0.328 0.096
O14 O 0.210 0.025 0.245
O15 O 0.323 0.768 0.742
O16 O 0.951 0.136 0.600
O17 O 0.343 0.811 0.156
O18 O 0.331 0.183 0.981
O19 O 0.823 0.732 0.758
O20 O 0.790 0.975 0.755
O21 O 0.714 0.565 0.901
O22 O 0.457 0.400 0.325
O23 O 0.413 0.145 0.717
O24 O 0.957 0.100 0.175
O25 O 0.974 0.463 0.334
O26 O 0.157 0.311 0.656
O27 O 0.758 0.563 0.495
O28 O 0.474 0.037 0.166
O29 O 0.526 0.963 0.834
O30 O 0.043 0.900 0.825
O31 O 0.587 0.855 0.283
O32 O 0.669 0.817 0.019
O33 O 0.406 0.668 0.304
O34 O 0.786 0.065 0.401
O35 O 0.177 0.268 0.242
O36 O 0.549 0.636 0.100
O37 O 0.048 0.172 0.404
O38 O 0.543 0.600 0.675
O39 O 0.906 0.832 0.196
O40 O 0.258 0.937 0.005
O41 O 0.677 0.232 0.258
O42 O 0.952 0.828 0.596
O43 O 0.087 0.645 0.217
O44 O 0.843 0.689 0.344
O45 O 0.094 0.168 0.804
O46 O 0.242 0.437 0.505
O47 O 0.594 0.332 0.696
O48 O 0.049 0.864 0.400
P1 P 0.389 0.325 0.024
P2 P 0.111 0.825 0.524
P3 P 0.592 0.352 0.242
P4 P 0.330 0.959 0.133
P5 P 0.611 0.675 0.976
P6 P 0.889 0.175 0.476
P7 P 0.908 0.852 0.742
P8 P 0.830 0.541 0.367
P9 P 0.024 0.246 0.721
P10 P 0.170 0.459 0.633
P11 P 0.524 0.254 0.779
P12 P 0.976 0.754 0.279
P13 P 0.670 0.041 0.867
P14 P 0.092 0.148 0.258
P15 P 0.408 0.648 0.758
P16 P 0.476 0.746 0.221
Rb1 Rb 0.064 0.694 0.958
Rb2 Rb 0.936 0.306 0.042
Rb3 Rb 0.564 0.806 0.542
Rb4 Rb 0.436 0.194 0.458
Ho1 Ho 0.773 0.498 0.684
Ho2 Ho 0.727 0.998 0.184
Ho3 Ho 0.273 0.002 0.816
Ho4 Ho 0.227 0.502 0.316
# * electronic total energy: -7.61 eV per atom
# * space group: P2_1/c, No. 14
# * V: 953 Å³ per cell

# GGA-PBEsol HoZr6P9O36, optimized geometry
data_HoZr6P9O36
_chemical_formula_sum 'Ho2 Zr12 P18 O72'
_cell_length_a 8.890
_cell_length_b 8.890
_cell_length_c 22.402
_cell_angle_alpha 90.00
_cell_angle_beta 90.00
_cell_angle_gamma 120.00
_space_group_name_H-M_alt 'P 1'
_space_group_IT_number 1
loop_
_space_group_symop_operation_xyz
'x,y,z'
loop_
_atom_site_label
_atom_site_type_symbol
_atom_site_fract_x
_atom_site_fract_y
_atom_site_fract_z
O1 O 0.642 0.125 0.420
O2 O 0.798 0.826 0.195
O3 O 0.840 0.308 0.241
O4 O 0.972 0.156 0.576
O5 O 0.798 0.972 0.695
O6 O 0.174 0.972 0.195
O7 O 0.028 0.844 0.424
O8 O 0.465 0.309 0.134
O9 O 0.309 0.844 0.866
O10 O 0.358 0.483 0.080
O11 O 0.483 0.125 0.920
O12 O 0.517 0.642 0.580
O13 O 0.642 0.517 0.920
O14 O 0.875 0.517 0.420
O15 O 0.174 0.202 0.695
O16 O 0.483 0.358 0.420
O17 O 0.156 0.972 0.924
O18 O 0.535 0.844 0.366
O19 O 0.972 0.798 0.805
O20 O 0.972 0.816 0.076
O21 O 0.465 0.155 0.521
O22 O 0.691 0.535 0.521
O23 O 0.202 0.174 0.805
O24 O 0.816 0.972 0.424
O25 O 0.309 0.465 0.366
O26 O 0.535 0.691 0.866
O27 O 0.692 0.160 0.741
O28 O 0.028 0.184 0.924
O29 O 0.156 0.184 0.424
O30 O 0.972 0.174 0.305
O31 O 0.465 0.156 0.634
O32 O 0.691 0.155 0.021
O33 O 0.465 0.309 0.021
O34 O 0.308 0.468 0.759
O35 O 0.468 0.308 0.741
O36 O 0.845 0.309 0.521
O37 O 0.028 0.826 0.695
O38 O 0.309 0.845 0.979
O39 O 0.535 0.845 0.479
O40 O 0.532 0.692 0.259
O41 O 0.517 0.875 0.080
O42 O 0.816 0.844 0.924
O43 O 0.468 0.160 0.241
O44 O 0.691 0.156 0.134
O45 O 0.840 0.532 0.741
O46 O 0.826 0.798 0.305
O47 O 0.160 0.468 0.259
O48 O 0.184 0.156 0.076
O49 O 0.535 0.691 0.979
O50 O 0.308 0.840 0.259
O51 O 0.156 0.465 0.866
O52 O 0.844 0.535 0.134
O53 O 0.155 0.465 0.979
O54 O 0.691 0.535 0.634
O55 O 0.845 0.535 0.021
O56 O 0.692 0.532 0.241
O57 O 0.532 0.840 0.759
O58 O 0.844 0.816 0.576
O59 O 0.358 0.875 0.580
O60 O 0.125 0.483 0.580
O61 O 0.844 0.309 0.634
O62 O 0.155 0.691 0.479
O63 O 0.184 0.028 0.576
O64 O 0.309 0.465 0.479
O65 O 0.844 0.028 0.076
O66 O 0.826 0.028 0.805
O67 O 0.160 0.692 0.759
O68 O 0.875 0.358 0.920
O69 O 0.028 0.202 0.195
O70 O 0.125 0.642 0.080
O71 O 0.156 0.691 0.366
O72 O 0.202 0.028 0.305
P1 P 0.319 0.945 0.922
P2 P 0.681 0.625 0.578
P3 P 0.291 0.291 0.750
P4 P 0.375 0.319 0.078
P5 P 0.709 0.709 0.250
P6 P 0.625 0.945 0.422
P7 P 0.055 0.681 0.422
P8 P 0.319 0.375 0.422
P9 P 0.375 0.055 0.578
P10 P 0.291 0.000 0.250
P11 P 0.055 0.375 0.922
P12 P 0.945 0.625 0.078
P13 P 0.000 0.291 0.250
P14 P 0.000 0.709 0.750
P15 P 0.709 0.000 0.750
P16 P 0.681 0.055 0.078
P17 P 0.625 0.681 0.922
P18 P 0.945 0.319 0.578
Ho1 Ho 0.000 0.000 0.500
Ho2 Ho 0.000 0.000 0.000
Zr1 Zr 0.667 0.333 0.688
Zr2 Zr 0.000 0.000 0.648
Zr3 Zr 0.333 0.667 0.033
Zr4 Zr 0.333 0.667 0.312
Zr5 Zr 0.667 0.333 0.967
Zr6 Zr 0.000 0.000 0.148
Zr7 Zr 0.667 0.333 0.188
Zr8 Zr 0.333 0.667 0.533
Zr9 Zr 0.000 0.000 0.352
Zr10 Zr 0.667 0.333 0.467
Zr11 Zr 0.333 0.667 0.812
Zr12 Zr 0.000 0.000 0.852
# * electronic total energy: -8.58 eV per atom
# * space group: P-3c1, No. 165
# * V: 1533 Å³ per cell

# GGA-PBEsol HoPaO4, optimized geometry
data_HoPaO4
_chemical_formula_sum 'Ho1 Pa1 O4'
_cell_length_a 3.760
_cell_length_b 3.760
_cell_length_c 5.308
_cell_angle_alpha 90.00
_cell_angle_beta 90.00
_cell_angle_gamma 90.00
_space_group_name_H-M_alt 'P 1'
_space_group_IT_number 1
loop_
_space_group_symop_operation_xyz
'x,y,z'
loop_
_atom_site_label
_atom_site_type_symbol
_atom_site_fract_x
_atom_site_fract_y
_atom_site_fract_z
O1 O 0.500 0.000 0.742
O2 O 0.000 0.500 0.258
O3 O 0.500 0.000 0.258
O4 O 0.000 0.500 0.742
Ho1 Ho 0.000 0.000 0.000
Pa1 Pa 0.500 0.500 0.500
# * electronic total energy: -9.83 eV per atom
# * space group: P4/mmm, No. 123
# * V: 75 Å³ per cell

# GGA-PBEsol Ho2Pb2O7, optimized geometry
data_Ho2Pb2O7
_chemical_formula_sum 'Ho4 Pb4 O14'
_cell_length_a 7.494
_cell_length_b 7.494
_cell_length_c 7.494
_cell_angle_alpha 60.00
_cell_angle_beta 60.00
_cell_angle_gamma 60.00
_space_group_name_H-M_alt 'P 1'
_space_group_IT_number 1
loop_
_space_group_symop_operation_xyz
'x,y,z'
loop_
_atom_site_label
_atom_site_type_symbol
_atom_site_fract_x
_atom_site_fract_y
_atom_site_fract_z
O1 O 0.774 0.774 0.226
O2 O 0.750 0.750 0.750
O3 O 0.500 0.500 0.500
O4 O 0.226 0.226 0.774
O5 O 0.024 0.476 0.024
O6 O 0.476 0.024 0.024
O7 O 0.476 0.024 0.476
O8 O 0.024 0.024 0.476
O9 O 0.774 0.226 0.226
O10 O 0.774 0.226 0.774
O11 O 0.226 0.774 0.774
O12 O 0.226 0.774 0.226
O13 O 0.476 0.476 0.024
O14 O 0.024 0.476 0.476
Pb1 Pb 0.125 0.625 0.125
Pb2 Pb 0.125 0.125 0.625
Pb3 Pb 0.625 0.125 0.125
Pb4 Pb 0.125 0.125 0.125
Ho1 Ho 0.625 0.625 0.625
Ho2 Ho 0.625 0.125 0.625
Ho3 Ho 0.625 0.625 0.125
Ho4 Ho 0.125 0.625 0.625
# * electronic total energy: -7.11 eV per atom
# * space group: Fd-3m, No. 227
# * V: 298 Å³ per cell

# GGA-PBEsol Ho2Pt2O7, optimized geometry
data_Ho2Pt2O7
_chemical_formula_sum 'Ho4 Pt4 O14'
_cell_length_a 7.150
_cell_length_b 7.150
_cell_length_c 7.150
_cell_angle_alpha 60.00
_cell_angle_beta 60.00
_cell_angle_gamma 60.00
_space_group_name_H-M_alt 'P 1'
_space_group_IT_number 1
loop_
_space_group_symop_operation_xyz
'x,y,z'
loop_
_atom_site_label
_atom_site_type_symbol
_atom_site_fract_x
_atom_site_fract_y
_atom_site_fract_z
Pt1 Pt 0.125 0.625 0.625
Pt2 Pt 0.625 0.625 0.625
Pt3 Pt 0.625 0.625 0.125
Pt4 Pt 0.625 0.125 0.625
O1 O 0.283 0.717 0.283
O2 O 0.717 0.283 0.717
O3 O 0.717 0.283 0.283
O4 O 0.717 0.717 0.283
O5 O 0.967 0.533 0.967
O6 O 0.967 0.967 0.533
O7 O 0.533 0.967 0.967
O8 O 0.000 0.000 0.000
O9 O 0.283 0.283 0.717
O10 O 0.533 0.533 0.967
O11 O 0.250 0.250 0.250
O12 O 0.533 0.967 0.533
O13 O 0.967 0.533 0.533
O14 O 0.283 0.717 0.717
Ho1 Ho 0.625 0.125 0.125
Ho2 Ho 0.125 0.125 0.125
Ho3 Ho 0.125 0.625 0.125
Ho4 Ho 0.125 0.125 0.625
# * electronic total energy: -7.60 eV per atom
# * space group: Fd-3m, No. 227
# * V: 258 Å³ per cell

# GGA-PBEsol RbHoW2O8, optimized geometry
data_RbHoW2O8
_chemical_formula_sum 'Rb2 Ho2 W4 O16'
_cell_length_a 7.463
_cell_length_b 7.453
_cell_length_c 7.453
_cell_angle_alpha 91.21
_cell_angle_beta 117.63
_cell_angle_gamma 62.37
_space_group_name_H-M_alt 'P 1'
_space_group_IT_number 1
loop_
_space_group_symop_operation_xyz
'x,y,z'
loop_
_atom_site_label
_atom_site_type_symbol
_atom_site_fract_x
_atom_site_fract_y
_atom_site_fract_z
O1 O 0.624 0.621 0.062
O2 O 0.307 0.044 0.787
O3 O 0.032 0.630 0.588
O4 O 0.056 0.620 0.241
O5 O 0.968 0.370 0.412
O6 O 0.807 0.213 0.956
O7 O 0.376 0.379 0.938
O8 O 0.944 0.380 0.759
O9 O 0.468 0.588 0.630
O10 O 0.532 0.412 0.370
O11 O 0.193 0.787 0.044
O12 O 0.693 0.956 0.213
O13 O 0.444 0.241 0.620
O14 O 0.876 0.062 0.621
O15 O 0.556 0.759 0.380
O16 O 0.124 0.938 0.379
W1 W 0.771 0.693 0.301
W2 W 0.729 0.301 0.693
W3 W 0.271 0.699 0.307
W4 W 0.229 0.307 0.699
Ho1 Ho 0.750 0.228 0.228
Ho2 Ho 0.250 0.772 0.772
Rb1 Rb 0.250 0.201 0.201
Rb2 Rb 0.750 0.799 0.799
# * electronic total energy: -8.86 eV per atom
# * space group: C2/c, No. 15
# * V: 315 Å³ per cell

# GGA-PBEsol Ho6ReO12, optimized geometry
data_Ho6ReO12
_chemical_formula_sum 'Ho6 Re1 O12'
_cell_length_a 6.363
_cell_length_b 6.363
_cell_length_c 6.363
_cell_angle_alpha 98.69
_cell_angle_beta 98.69
_cell_angle_gamma 98.69
_space_group_name_H-M_alt 'P 1'
_space_group_IT_number 1
loop_
_space_group_symop_operation_xyz
'x,y,z'
loop_
_atom_site_label
_atom_site_type_symbol
_atom_site_fract_x
_atom_site_fract_y
_atom_site_fract_z
O1 O 0.410 0.567 0.823
O2 O 0.590 0.433 0.177
O3 O 0.964 0.074 0.299
O4 O 0.433 0.177 0.590
O5 O 0.299 0.964 0.074
O6 O 0.823 0.410 0.567
O7 O 0.074 0.299 0.964
O8 O 0.701 0.036 0.926
O9 O 0.036 0.926 0.701
O10 O 0.926 0.701 0.036
O11 O 0.177 0.590 0.433
O12 O 0.567 0.823 0.410
Ho1 Ho 0.685 0.388 0.856
Ho2 Ho 0.144 0.315 0.612
Ho3 Ho 0.388 0.856 0.685
Ho4 Ho 0.612 0.144 0.315
Ho5 Ho 0.856 0.685 0.388
Ho6 Ho 0.315 0.612 0.144
Re1 Re 0.000 0.000 0.000
# * electronic total energy: -8.83 eV per atom
# * space group: R-3, No. 148
# * V: 248 Å³ per cell

# GGA-PBEsol Ho3ReO8, optimized geometry
data_Ho3ReO8
_chemical_formula_sum 'Ho6 Re2 O16'
_cell_length_a 6.187
_cell_length_b 7.036
_cell_length_c 7.036
_cell_angle_alpha 110.84
_cell_angle_beta 90.00
_cell_angle_gamma 90.00
_space_group_name_H-M_alt 'P 1'
_space_group_IT_number 1
loop_
_space_group_symop_operation_xyz
'x,y,z'
loop_
_atom_site_label
_atom_site_type_symbol
_atom_site_fract_x
_atom_site_fract_y
_atom_site_fract_z
Ho1 Ho 0.250 0.331 0.107
Ho2 Ho 0.750 0.107 0.331
Ho3 Ho 0.250 0.404 0.596
Ho4 Ho 0.750 0.596 0.404
Ho5 Ho 0.750 0.669 0.893
Ho6 Ho 0.250 0.893 0.669
O1 O 0.750 0.956 0.572
O2 O 0.053 0.192 0.808
O3 O 0.750 0.428 0.043
O4 O 0.750 0.348 0.652
O5 O 0.750 0.024 0.976
O6 O 0.447 0.192 0.808
O7 O 0.553 0.808 0.192
O8 O 0.000 0.671 0.671
O9 O 0.250 0.044 0.428
O10 O 0.250 0.572 0.957
O11 O 0.250 0.652 0.348
O12 O 0.000 0.329 0.329
O13 O 0.500 0.329 0.329
O14 O 0.947 0.808 0.192
O15 O 0.250 0.976 0.024
O16 O 0.500 0.671 0.671
Re1 Re 0.750 0.182 0.818
Re2 Re 0.250 0.818 0.182
# * energy above the lowest structure with this stoichiometry: 3.5 kJ/mol of atoms
# * electronic total energy: -8.73 eV per atom
# * space group: Cmcm, No. 63
# * V: 286 Å³ per cell

The lowest V belongs to which entry? HoPaO4

Number 7 is which compound? RbHoW2O8